This record from Alexandria via LeMat-Bulk describes NdSm2Br6 after structural relaxation. The functional is GGA-PBE.

Raw total energy = -38.16 eV per formula unit
Magnetization = 1.1 μB per cell

Lattice parameters (Å, degrees): 7.058 7.058 8.205 64.52 64.52 60.00
Last column: magnetic moment on the atom in μB.
Element x y z (fractional)
Nd: 0.334 0.334 0.996  0.03
Sm: 0.832 0.832 0.505  0.32
Sm: 0.498 0.498 0.506  0.19
Br: 0.755 0.413 0.753  0.01
Br: 0.080 0.755 0.753  0.01
Br: 0.413 0.080 0.753  0.01
Br: 0.249 0.598 0.245  0.00
Br: 0.909 0.249 0.245  0.00
Br: 0.598 0.909 0.245  0.00

---

This record from Alexandria via LeMat-Bulk describes TcHSe2 after structural relaxation. The functional is GGA-PBE.

Relative energy among the computed polymorphs = 235 meV per atom
Raw total energy = -20.47 eV per formula unit
Magnetization = 0.0 μB per cell

Lattice parameters (Å, degrees): 7.241 5.041 5.041 98.16 122.18 57.82
Element x y z (fractional)
H: 0.750 0.899 0.399
H: 0.250 0.101 0.601
Tc: 0.750 0.339 0.839
Tc: 0.250 0.661 0.161
Se: 0.202 0.199 0.237
Se: 0.298 0.737 0.699
Se: 0.798 0.801 0.763
Se: 0.702 0.263 0.301

---

This record from Alexandria via LeMat-Bulk describes YTiInPb2 after structural relaxation. The functional is GGA-PBE.

Raw total energy = -23.32 eV per formula unit
Magnetization = 0.0 μB per cell
ΔE_f = 0.240 eV per atom

Lattice parameters (Å, degrees): 5.593 5.593 5.592 90.00 90.00 90.00
Element x y z (fractional)
Pb: 0.000 0.500 0.000
Pb: 0.500 0.000 0.000
Y: 0.500 0.500 0.500
Ti: 0.000 0.000 0.000
In: 0.000 0.000 0.500

---

This record from Alexandria via LeMat-Bulk describes Pr6Ag5Au after structural relaxation. The functional is GGA-PBE.

Raw total energy = -50.17 eV per formula unit
Magnetization = 0.0 μB per cell
ΔE_f = -0.330 eV per atom

Lattice parameters (Å, degrees): 5.346 9.242 9.242 119.82 106.85 106.85
Element x y z (fractional)
Pr: 0.247 0.083 0.412
Pr: 0.753 0.588 0.917
Pr: 0.745 0.245 0.245
Pr: 0.255 0.755 0.755
Pr: 0.247 0.412 0.083
Pr: 0.753 0.917 0.588
Au: 0.000 0.000 0.000
Ag: 0.500 0.172 0.828
Ag: 0.000 0.334 0.666
Ag: 0.500 0.500 0.500
Ag: 0.000 0.666 0.334
Ag: 0.500 0.828 0.172

---

> Among the records above, which one has the lowest raw total energy?

Pr6Ag5Au